DFT (PBE) results for a geometry-optimized FeIr2Au structure. Values from VASP.

Geometry as Quantum ESPRESSO input:
```
&SYSTEM
  ibrav = 0, nat = 4, ntyp = 3
/
ATOMIC_SPECIES
Fe 55.84 Fe.upf
Ir 192.22 Ir.upf
Au 196.97 Au.upf
CELL_PARAMETERS angstrom
2.7635 0.0000 0.0000
0.0000 3.8591 0.0000
0.0000 0.0000 5.6104
ATOMIC_POSITIONS angstrom
Fe 0.0000 0.0000 0.0000
Ir 0.0000 0.0000 2.5642
Ir 1.3818 1.9296 1.3294
Au 1.3818 1.9296 4.1766
```

Output
**Offset from the most stable computed form**: 47 meV/atom
**Space-group type**: No. 25
**Energy relative to the elements**: 0.17 eV/atom
**Total moment**: 2.666 μB/f.u.

DFT (PBE) results for a geometry-optimized Pm4BeO7 structure. Values from VASP.

Geometry as Quantum ESPRESSO input:
```
&SYSTEM
  ibrav = 0, nat = 12, ntyp = 3
/
ATOMIC_SPECIES
Pm 145.00 Pm.upf
Be 9.01 Be.upf
O 16.00 O.upf
CELL_PARAMETERS angstrom
6.4296 -2.0110 0.0000
6.4296 2.0110 0.0000
-5.8774 0.0000 6.4185
ATOMIC_POSITIONS angstrom
Pm -1.1729 0.0000 2.4489
Pm 2.2101 0.0000 0.9193
Pm 4.7718 0.0000 5.4992
Pm 8.1547 0.0000 3.9696
Be 6.4296 0.0000 0.0000
O 0.0000 0.0000 0.0000
O -2.4619 0.0000 4.5994
O 1.2120 0.0000 2.8996
O 4.9245 0.0000 0.5784
O 2.0573 0.0000 5.8401
O 5.7699 0.0000 3.5189
O 9.4437 0.0000 1.8191
```

Output
**Space-group type**: No. 12
**Total moment**: 0.000 μB/f.u.
**Energy relative to the elements, uncorrected**: -3119 meV per atom

DFT (PBE) results for a geometry-optimized KPAuO2 structure. Values from VASP.

Geometry as Quantum ESPRESSO input:
```
&SYSTEM
  ibrav = 0, nat = 5, ntyp = 4
/
ATOMIC_SPECIES
K 39.10 K.upf
P 30.97 P.upf
Au 196.97 Au.upf
O 16.00 O.upf
CELL_PARAMETERS angstrom
4.4913 0.0000 0.0000
0.0000 4.4913 0.0000
0.0000 0.0000 4.5569
ATOMIC_POSITIONS angstrom
K 0.0000 0.0000 0.0000
P 2.2456 2.2456 0.0000
Au 2.2456 2.2456 2.2784
O 0.0000 2.2456 2.2784
O 2.2456 0.0000 2.2784
```

Output
**Offset from the most stable computed form**: 0 meV/atom
**Space-group type**: No. 123
**Total moment**: 0.255 μB/f.u.
**Energy relative to the elements, uncorrected**: 292 meV per atom

Calculated density list, top to bottom, in g/cm3: 17.69 7.01 5.40